Entry 1:
This record from Alexandria describes crystalline NaSnO3 at its relaxed geometry. The functional is PBE.

Values from the calculation:
Its energy relative to the elements, uncorrected is 0.054 eV/atom. The space-group type is Pm-3m, No. 221. The calculated total energy comes out at -0.1465 hartree per atom.

Cell lengths 4.045, 4.045, 4.045 Å; angles 90.00, 90.00, 90.00 degrees
Fractional positions:
Na (0.000, 0.000, 0.000)
Sn (0.500, 0.500, 0.500)
O (0.000, 0.000, 0.500)
O (0.000, 0.500, 0.000)
O (0.500, 0.000, 0.000)


Entry 2:
This record from Alexandria describes crystalline PC at its relaxed geometry. The functional is PBE.

Values from the calculation:
The space-group type is Cm, No. 8. For the formation energy from the elements, the calculation gives 528 meV per atom. The calculated total energy comes out at -0.2495 hartree per atom. Its energy relative to the lowest polymorph listed for this composition is 215.7 meV/atom.

Cell lengths 7.661, 7.661, 4.122 Å; angles 94.68, 94.68, 20.36 degrees
Fractional positions:
P (0.000, 0.000, 0.000)
P (0.573, 0.573, 0.403)
P (0.896, 0.896, 0.382)
C (0.231, 0.231, 0.311)
C (0.325, 0.325, 0.318)
C (0.686, 0.686, 0.318)


Entry 3:
This record from Alexandria describes crystalline TeOsSe2 at its relaxed geometry. The functional is PBE.

Values from the calculation:
Its energy relative to the elements, uncorrected is 0.625 eV/atom. The space-group type is Cmm2, No. 35. The calculated total energy comes out at -0.1731 hartree per atom.

Cell lengths 3.068, 3.068, 10.760 Å; angles 90.00, 90.00, 121.48 degrees
Fractional positions:
Te (0.000, 0.000, 0.000)
Os (0.500, 0.500, 0.219)
Se (0.000, 0.000, 0.402)
Se (0.500, 0.500, 0.699)


For reference, magnetic moment by record: 3.0, 0.0, 0.0 μB per formula unit.